1.
VASP calculation (GGA-PBE) on crystalline Sc2In3Ag at its relaxed geometry.

The structure belongs to space group Fmmm (No. 69); the cell edges are 6.539, 9.674 and 16.790 Å and the angles 90.00°, 90.00° and 90.00°. Symmetry generates all atoms from Sc at (0.249, 0.000, 0.000), Sc at (0.250, 0.250, 0.250), In at (0.000, 0.000, 0.330), In at (0.000, 0.244, 0.085) and Ag at (0.000, 0.000, 0.168).

The value obtained for the total energy is -4.27 eV/atom. As for the energy of formation from the pure elements: -0.310 eV/atom. The calculation puts the magnetic moment at 0.002 μB/f.u.

2.
VASP calculation (GGA-PBE) on crystalline ZrCdSi3 at its relaxed geometry.

The structure belongs to space group Pm-3m (No. 221); the cell edges are 4.887, 4.887 and 4.887 Å and the angles 90.00°, 90.00° and 90.00°. Symmetry generates all atoms from Zr at (0.000, 0.000, 0.000), Cd at (0.500, 0.500, 0.500) and Si at (0.000, 0.500, 0.500).

As for the excess energy over the best structure of this formula in the dataset: 461 meV per atom. The formation energy (no corrections) comes out at 1227 meV/atom. The value obtained for the total energy is -3.92 eV/atom. The calculation puts the magnetic moment at 0.000 μB/f.u.

3.
VASP calculation (GGA-PBE) on crystalline Dy3In4CuTe8 at its relaxed geometry.

The structure belongs to space group C2/m (No. 12); the cell edges are 15.165, 8.751 and 9.196 Å and the angles 90.00°, 123.35° and 90.00°. Symmetry generates all atoms from Dy at (0.000, 0.000, 0.000), Dy at (0.250, 0.250, 0.000), In at (0.000, 0.000, 0.500), In at (0.000, 0.500, 0.500), In at (0.250, 0.250, 0.500), Cu at (0.000, 0.500, 0.000), Te at (0.007, 0.258, 0.778), Te at (0.236, 0.500, 0.223) and Te at (0.243, 0.000, 0.229).

The formation energy (no corrections) comes out at -700 meV/atom. The value obtained for the total energy is -4.07 eV/atom. The calculation puts the magnetic moment at 0.000 μB/f.u.

4.
VASP calculation (GGA-PBE) on crystalline La15SmY4 at its relaxed geometry.

The structure belongs to space group P4/mmm (No. 123); the cell edges are 5.223, 5.223 and 26.124 Å and the angles 90.00°, 90.00° and 90.00°. Symmetry generates all atoms from La at (0.000, 0.000, 0.000), La at (0.000, 0.000, 0.200), La at (0.000, 0.000, 0.400), La at (0.000, 0.500, 0.100), La at (0.000, 0.500, 0.300), La at (0.000, 0.500, 0.500), Sm at (0.500, 0.500, 0.000), Y at (0.500, 0.500, 0.200) and Y at (0.500, 0.500, 0.400).

The value obtained for the total energy is -5.22 eV/atom. As for the energy of formation from the pure elements: 0.007 eV/atom. The calculation puts the magnetic moment at 0.000 μB/f.u.